First-principles (PBE+U) data for crystalline Rb3V2InO8 at its relaxed geometry, as listed in Alexandria.

abc: 5.9776 5.9776 7.9497
angles: 90.00 90.00 120.00
Sites, in units of the cell vectors:
O  0.6667  0.3333  0.9452
O  0.1718  0.8282  0.3385
O  0.3435  0.1718  0.6615
O  0.8282  0.1718  0.6615
O  0.6565  0.8282  0.3385
O  0.3333  0.6667  0.0548
O  0.8282  0.6565  0.6615
O  0.1718  0.3435  0.3385
Rb  0.3333  0.6667  0.7061
Rb  0.0000  0.0000  0.0000
Rb  0.6667  0.3333  0.2939
In  0.0000  0.0000  0.5000
V  0.3333  0.6667  0.2666
V  0.6667  0.3333  0.7334

**Space-group type**: P-3m1, No. 164
**Total magnetization**: 0.00 μB/cell
**E_tot**: -6.218 eV/atom